1.
A plane-wave DFT calculation with meta-GGA SCAN was carried out for ZrInCo at its PBEsol-relaxed geometry.

The structure in CIF format:
```
data_ZrInCo
_symmetry_space_group_name_H-M 'P 3 m 1'
_symmetry_Int_Tables_number 156
_cell_length_a 4.4183
_cell_length_b 4.4183
_cell_length_c 3.0635
_cell_angle_alpha 90.00
_cell_angle_beta 90.00
_cell_angle_gamma 120.00
loop_
_symmetry_equiv_pos_as_xyz
'x,y,z'
'-y,x-y,z'
'-x+y,-x,z'
'-y,-x,z'
'-x+y,y,z'
'x,x-y,z'
loop_
_atom_site_label
_atom_site_type_symbol
_atom_site_fract_x
_atom_site_fract_y
_atom_site_fract_z
Zr1 Zr 0.0000 0.0000 0.0000
In1 In 0.3333 0.6667 0.5005
Co1 Co 0.6667 0.3333 0.5414
```

- mass density (g cm⁻³) = 8.5

***

2.
A plane-wave DFT calculation with meta-GGA SCAN was carried out for ZrInCo at its PBEsol-relaxed geometry.

The structure in CIF format:
```
data_ZrInCo
_symmetry_space_group_name_H-M 'F -4 3 m'
_symmetry_Int_Tables_number 216
_symmetry_space_group_name_Hall 'F -4 2 3'
_cell_length_a 6.308
_cell_length_b 6.308
_cell_length_c 6.308
_cell_angle_alpha 90.00
_cell_angle_beta 90.00
_cell_angle_gamma 90.00
loop_
_atom_site_label
_atom_site_type_symbol
_atom_site_fract_x
_atom_site_fract_y
_atom_site_fract_z
Zr1 Zr 0.000 0.000 0.000
In1 In 0.250 0.250 0.750
Co1 Co 0.250 0.250 0.250
```

- mass density (g cm⁻³) = 7.0

***

VASP energy per entry: -81.6 -319.8 eV per cell